# 1
MgSc2Cd GGA-PBEsol optimized geometry; space group = P4mm, No. 99; E_tot = -16.6 eV/cell; N(E_F) = 0.913 states/eV per atom; density = 4.27 g/cm³
1.0
3.5383 0.0000 0.0000
0.0000 3.5383 0.0000
0.0000 0.0000 7.0367
Mg Sc Cd
1 2 1
Direct
0.0000 0.0000 0.0000
0.0000 0.0000 0.5205
0.5000 0.5000 0.2646
0.5000 0.5000 0.7639

***

# 2
MgSc2Cd GGA-PBEsol optimized geometry; space group = P4/mmm, No. 123; E_tot = -16.9 eV/cell; N(E_F) = 1.002 states/eV per atom; density = 4.34 g/cm³
1.0
4.8598 0.0000 0.0000
0.0000 4.8598 0.0000
0.0000 0.0000 3.6693
Mg Sc Cd
1 2 1
Direct
0.0000 0.0000 0.0000
0.0000 0.5000 0.5000
0.5000 0.0000 0.5000
0.5000 0.5000 0.0000

***

# 3
MgSc3Cd GGA-PBEsol optimized geometry; space group = Pm-3m, No. 221; E_tot = -19.0 eV/cell; N(E_F) = 2.387 states/eV per atom; density = 3.31 g/cm³
1.0
5.1456 0.0000 0.0000
0.0000 5.1456 0.0000
0.0000 0.0000 5.1456
Mg Sc Cd
1 3 1
Direct
0.0000 0.0000 0.0000
0.0000 0.0000 0.5000
0.0000 0.5000 0.0000
0.5000 0.0000 0.0000
0.5000 0.5000 0.5000

***

# 4
MgSc2Cd2 GGA-PBEsol optimized geometry; space group = P4/mbm, No. 127; E_tot = -36.7 eV/cell; N(E_F) = 0.698 states/eV per atom; density = 5.08 g/cm³
1.0
7.7298 0.0000 0.0000
0.0000 7.7298 0.0000
0.0000 0.0000 3.7088
Mg Sc Cd
2 4 4
Direct
0.0000 0.0000 0.0000
0.5000 0.5000 0.0000
0.1641 0.3359 0.5000
0.3359 0.8359 0.5000
0.6641 0.1641 0.5000
0.8359 0.6641 0.5000
0.1335 0.6335 0.0000
0.3665 0.1335 0.0000
0.6335 0.8665 0.0000
0.8665 0.3665 0.0000